[1]
First-principles (SCAN) data for a crystal of MnSbSe2 relaxed with PBEsol, as listed in Alexandria.

Calculated values
Formation energy from raw total energies ... -0.24 eV/atom
E ... -24.1567 eV/atom

Unit cell a=7.1751 b=7.1751 c=6.8445 alpha=90.00 beta=90.00 gamma=90.00
With the nearest neighbours (Å) after each atom.
Space group I-42d (No. 122)
Unique sites:
Mn (0.0000, 0.0000, 0.0000) x4  4 Se 2.48
Sb (0.0000, 0.0000, 0.5000) x4  4 Se 2.89
Se (0.2072, 0.2500, 0.1250) x8  2 Mn 2.48

=====

[2]
First-principles (SCAN) data for a crystal of Mn2SbSe relaxed with PBEsol, as listed in Alexandria.

Calculated values
Formation energy from raw total energies ... -0.26 eV/atom
E ... -23.7273 eV/atom

Unit cell a=3.3203 b=3.3203 c=6.1594 alpha=90.00 beta=90.00 gamma=90.00
With the nearest neighbours (Å) after each atom.
Space group P4mm (No. 99)
Unique sites:
Mn (0.0000, 0.0000, 0.0000) x1  4 Se 2.50, 1 Sb 2.75, 4 Mn 2.79
Mn (0.5000, 0.5000, 0.2439) x1  1 Se 2.37, 4 Sb 2.66
Sb (0.0000, 0.0000, 0.4458) x1  5 Mn 2.66-2.75
Se (0.5000, 0.5000, 0.8585) x1  5 Mn 2.37-2.50

=====

[3]
First-principles (SCAN) data for a crystal of MnSbSe2 relaxed with PBEsol, as listed in Alexandria.

Calculated values
Formation energy from raw total energies ... -0.25 eV/atom
E ... -24.1712 eV/atom

Unit cell a=3.4236 b=3.7493 c=13.2992 alpha=90.00 beta=90.00 gamma=90.00
With the nearest neighbours (Å) after each atom.
Space group Imm2 (No. 44)
Unique sites:
Mn (0.0000, 0.0000, 0.0000) x2  6 Se 2.57-2.69
Sb (0.0000, 0.5000, 0.7299) x2  6 Se 2.87-3.04
Se (0.0000, 0.0000, 0.5670) x2  4 Mn 2.69, 2 Sb 2.87
Se (0.0000, 0.5000, 0.3561) x2  2 Mn 2.57

=====

[4]
First-principles (SCAN) data for a crystal of MnSbSe2 relaxed with PBEsol, as listed in Alexandria.

Calculated values
Formation energy from raw total energies ... -0.38 eV/atom
E ... -24.3030 eV/atom

Unit cell a=3.4261 b=3.4261 c=25.4516 alpha=90.00 beta=90.00 gamma=120.00
With the nearest neighbours (Å) after each atom.
Space group R-3m (No. 166, hexagonal axes)
Unique sites:
Mn (0.0000, 0.0000, 0.0000) x3  6 Se 2.42
Sb (0.0000, 0.0000, 0.5000) x3  2 Se 2.85
Se (0.0000, 0.0000, 0.3879) x6  3 Mn 2.42

=====

[5]
First-principles (SCAN) data for a crystal of MnSb2TeSe relaxed with PBEsol, as listed in Alexandria.

Calculated values
Formation energy from raw total energies ... 0.36 eV/atom
E ... -29.6568 eV/atom

Unit cell a=4.9323 b=4.9323 c=4.8714 alpha=90.00 beta=90.00 gamma=90.00
With the nearest neighbours (Å) after each atom.
Space group P4/mmm (No. 123)
Unique sites:
Mn (0.0000, 0.0000, 0.0000) x1  2 Te 2.44, 4 Sb 2.47
Sb (0.0000, 0.5000, 0.0000) x2  2 Mn 2.47
Te (0.0000, 0.0000, 0.5000) x1  2 Mn 2.44
Se (0.5000, 0.5000, 0.5000) x1  8 Sb 3.47, 4 Te 3.49

=====

[6]
First-principles (SCAN) data for a crystal of TaMn2SiSb relaxed with PBEsol, as listed in Alexandria.

Calculated values
Formation energy from raw total energies ... 1.35 eV/atom
E ... -28.7264 eV/atom

Unit cell a=4.6801 b=4.6801 c=5.1114 alpha=90.00 beta=90.00 gamma=90.00
With the nearest neighbours (Å) after each atom.
Space group P4/mmm (No. 123)
Unique sites:
Ta (0.0000, 0.0000, 0.0000) x1  2 Sb 2.56
Mn (0.0000, 0.5000, 0.5000) x2  2 Sb 2.34
Si (0.5000, 0.5000, 0.0000) x1  4 Ta 3.31, 8 Mn 3.47
Sb (0.0000, 0.0000, 0.5000) x1  4 Mn 2.34, 2 Ta 2.56

=====

The records above give, respectively, magnetization values of 4.2, 6.3, 4.7, 3.5, 2.1, 6.4 μB per formula unit.